(1)
SrCo: relaxed, PBE-GGA.

Summary:
calculated volume = 37.29 A^3/atom
uncorrected energy = -2.982 eV/atom
energy relative to the elements = 1.412 eV per atom

```
SrCo
1.0
-2.934 -2.711 5.356
5.522 1.121 3.592
-2.356 6.004 1.747
Sr Co
4 4
Cartesian
0.000 0.000 0.000
1.583 3.562 2.670
-2.645 1.647 3.552
1.294 -0.795 4.474
0.058 1.104 2.674
1.641 4.666 5.344
-2.587 2.750 6.226
1.351 0.309 7.148
```

(2)
ThFe3P3: relaxed, PBE-GGA.

Summary:
calculated volume = 16.17 A^3/atom
uncorrected energy = -7.467 eV/atom
energy relative to the elements = -0.461 eV per atom

```
ThFe3P3
1.0
-3.676 -0.855 -4.786
-3.758 -3.308 3.476
-3.085 5.047 1.468
P Fe Th
6 6 2
Cartesian
-2.482 1.697 1.603
-4.361 0.042 3.341
-4.152 3.358 -1.292
-4.636 -2.295 -1.852
-2.609 0.835 -2.026
-2.798 -1.868 0.542
-2.462 2.310 -0.462
-2.650 -0.392 2.105
-4.656 -2.909 0.214
-4.299 1.883 -2.856
-4.193 2.131 2.839
-2.777 -1.254 -1.524
-5.259 0.442 0.079
0.000 0.000 0.000
```

(3)
ZnReBr2: relaxed, PBE-GGA.

Summary:
calculated volume = 20.49 A^3/atom
energy above the lowest structure with this stoichiometry = 3.22 eV per formula unit
uncorrected energy = -3.273 eV/atom
ΔE_f (raw) = 3.98 eV per formula unit

```
ZnReBr2
1.0
-0.597 0.269 -3.097
-2.413 -5.338 0.000
-3.941 1.781 0.914
Br Re Zn
2 1 1
Cartesian
0.000 0.000 0.000
-1.505 -2.534 -1.548
-2.269 1.025 -1.091
-3.177 -1.778 0.457
```